(1)
Here is crystalline FeAsOs2 at its relaxed geometry from the Alexandria database. Energies are from PBE.

Cell and atoms, written as POSCAR:
```
FeAsOs2
1.0
2.8681 0.0000 0.0000
0.0000 2.8681 0.0000
0.0000 0.0000 6.6182
Fe As Os
1 1 2
direct
0.0000 0.0000 0.0000
0.5000 0.5000 0.8024
0.0000 0.0000 0.5343
0.5000 0.5000 0.2714
```

Output
**D(E_F)**: 0.8301 states/eV per atom
**Raw total energy**: -8.6275 eV/atom
**Total magnetization**: 1.4 μB/cell
**Space group**: P4mm, No. 99

(2)
Here is crystalline FeAsOs2 at its relaxed geometry from the Alexandria database. Energies are from PBE.

Cell and atoms, written as POSCAR:
```
FeAsOs2
1.0
-2.6924 2.6924 5.3288
2.6924 -2.6924 5.3288
2.6924 2.6924 -5.3288
Fe As Os
2 2 4
direct
0.0000 0.0000 0.0000
0.7500 0.2500 0.5000
0.2500 0.7500 0.5000
0.5000 0.5000 0.0000
0.0981 0.6250 0.9731
0.3750 0.3481 0.4731
0.6519 0.1250 0.0269
0.8750 0.9019 0.5269
```

Output
**D(E_F)**: 0.8542 states/eV per atom
**Raw total energy**: -7.9531 eV/atom
**Total magnetization**: 0.0 μB/cell
**Space group**: I-42d, No. 122

(3)
Here is crystalline FeAsOs2 at its relaxed geometry from the Alexandria database. Energies are from PBE.

Cell and atoms, written as POSCAR:
```
FeAsOs2
1.0
4.4205 -1.4229 0.0000
4.4205 1.4229 0.0000
-0.3290 0.0000 4.4774
Fe As Os
1 1 2
direct
0.0000 0.0000 0.0000
0.2412 0.2412 0.7915
0.4701 0.4701 0.4836
0.7347 0.7347 0.2581
```

Output
**D(E_F)**: 0.8750 states/eV per atom
**Raw total energy**: -8.5473 eV/atom
**Total magnetization**: 1.7 μB/cell
**Space group**: Cm, No. 8

(4)
Here is crystalline FeAsOs2 at its relaxed geometry from the Alexandria database. Energies are from PBE.

Cell and atoms, written as POSCAR:
```
FeAsOs2
1.0
2.8435 0.0000 0.0000
0.0000 4.4020 0.0000
0.0000 0.0000 4.5578
Fe As Os
1 1 2
direct
0.0000 0.0000 0.0000
0.5000 0.0000 0.5000
0.0000 0.5000 0.5000
0.5000 0.5000 0.0000
```

Output
**D(E_F)**: 0.9061 states/eV per atom
**Raw total energy**: -8.4097 eV/atom
**Total magnetization**: 2.2 μB/cell
**Space group**: Pmmm, No. 47

(5)
Here is crystalline FeAsOs2 at its relaxed geometry from the Alexandria database. Energies are from PBE.

Cell and atoms, written as POSCAR:
```
FeAsOs2
1.0
0.0000 3.0557 3.0557
3.0557 0.0000 3.0557
3.0557 3.0557 0.0000
Fe As Os
1 1 2
direct
0.0000 0.0000 0.0000
0.7500 0.7500 0.7500
0.2500 0.2500 0.2500
0.5000 0.5000 0.5000
```

Output
**D(E_F)**: 0.8867 states/eV per atom
**Raw total energy**: -8.3670 eV/atom
**Total magnetization**: 2.4 μB/cell
**Space group**: F-43m, No. 216

(6)
Here is crystalline FeAs6Os at its relaxed geometry from the Alexandria database. Energies are from PBE.

Cell and atoms, written as POSCAR:
```
FeAs6Os
1.0
5.9815 -4.2478 0.0000
5.9815 4.2478 0.0000
-5.9793 0.0000 6.0259
Fe As Os
2 12 2
direct
0.0000 0.5000 0.0000
0.5000 0.0000 0.0000
0.1434 0.8452 0.1498
0.1548 0.8566 0.8502
0.1950 0.5070 0.3455
0.3406 0.3406 0.9929
0.3481 0.3481 0.7023
0.4930 0.8050 0.6545
0.5070 0.1950 0.3455
0.6519 0.6519 0.2977
0.6594 0.6594 0.0071
0.8050 0.4930 0.6545
0.8452 0.1434 0.1498
0.8566 0.1548 0.8502
0.0000 0.5000 0.5000
0.5000 0.0000 0.5000
```

Output
**D(E_F)**: 0.9157 states/eV per atom
**Raw total energy**: -6.0532 eV/atom
**Total magnetization**: 3.0 μB/cell
**Space group**: C2/m, No. 12